(1)
# ErTm2Sc

An optimized crystal structure of ErTm2Sc (PBE, Alexandria via LeMat-Bulk).

Computed properties:
ΔE to the lowest computed polymorph (meV/atom): 17
ρ (kg/m³): 7954
E_tot (eV per cell): -19.67
Formation enthalpy at 0 K (eV/atom): 0.0422
DOS at the Fermi energy (states/eV/f.u.): 5.91

abc: 3.4504 3.4504 9.6462
angles: 90.00 90.00 90.00
Element x y z (fractional)
1 Sc 0.5000 0.5000 0.0000
2 Tm 0.0000 0.0000 0.7590
3 Tm 0.0000 0.0000 0.2410
4 Er 0.5000 0.5000 0.5000

---

(2)
# Li7ZnPd2

An optimized crystal structure of Li7ZnPd2 (PBE, Alexandria via LeMat-Bulk).

Computed properties:
ρ (kg/m³): 2556
E_tot (eV per cell): -25.02
Formation enthalpy at 0 K (eV/atom): 0.0039
DOS at the Fermi energy (states/eV/f.u.): 4.65

abc: 4.5879 7.2310 7.2310
angles: 117.72 90.00 90.00
Element x y z (fractional)
1 Li 0.0000 0.7528 0.2472
2 Li 0.0000 0.2472 0.7528
3 Li 0.5000 0.0575 0.3086
4 Li 0.5000 0.9425 0.6914
5 Li 0.5000 0.3086 0.0575
6 Li 0.5000 0.6914 0.9425
7 Li 0.5000 0.5000 0.5000
8 Zn 0.0000 0.0000 0.0000
9 Pd 0.5000 0.6999 0.3001
10 Pd 0.5000 0.3001 0.6999

---

(3)
# Ac2CuRh3O8

An optimized crystal structure of Ac2CuRh3O8 (PBE, Alexandria via LeMat-Bulk).

Computed properties:
ρ (kg/m³): 7614
E_tot (eV per cell): -94.78
Uncorrected formation energy (kJ/mol of atoms): -143.0

abc: 6.5520 6.5520 6.7560
angles: 60.99 60.99 60.00
Element x y z (fractional)
1 Ac 0.1197 0.1197 0.6410
2 Ac 0.5028 0.5028 0.4916
3 Cu 0.9260 0.9260 0.2221
4 Rh 0.4956 0.9915 0.0173
5 Rh 0.9915 0.4956 0.0173
6 Rh 0.4956 0.4956 0.0173
7 O 0.2696 0.2696 0.1913
8 O 0.7171 0.7171 0.8486
9 O 0.2428 0.2428 0.8229
10 O 0.6915 0.2428 0.8229
11 O 0.2428 0.6915 0.8229
12 O 0.7608 0.2763 0.2021
13 O 0.2763 0.7608 0.2021
14 O 0.7608 0.7608 0.2021

---

- What is the E_tot in the third record?
  -94.78 eV per cell

---

Repeat the third record exactly.
# Ac2CuRh3O8

An optimized crystal structure of Ac2CuRh3O8 (PBE, Alexandria via LeMat-Bulk).

Computed properties:
ρ (kg/m³): 7614
E_tot (eV per cell): -94.78
Uncorrected formation energy (kJ/mol of atoms): -143.0

abc: 6.5520 6.5520 6.7560
angles: 60.99 60.99 60.00
Element x y z (fractional)
1 Ac 0.1197 0.1197 0.6410
2 Ac 0.5028 0.5028 0.4916
3 Cu 0.9260 0.9260 0.2221
4 Rh 0.4956 0.9915 0.0173
5 Rh 0.9915 0.4956 0.0173
6 Rh 0.4956 0.4956 0.0173
7 O 0.2696 0.2696 0.1913
8 O 0.7171 0.7171 0.8486
9 O 0.2428 0.2428 0.8229
10 O 0.6915 0.2428 0.8229
11 O 0.2428 0.6915 0.8229
12 O 0.7608 0.2763 0.2021
13 O 0.2763 0.7608 0.2021
14 O 0.7608 0.7608 0.2021